Entry 1:
Computed, not measured: a relaxed PaSe3 crystal at the GGA-PBE level of DFT.

a = 6.1245 Å, b = 6.1245 Å, c = 5.2758 Å
α = 90.00°, β = 90.00°, γ = 120.00°
Closest atoms and distances in Å follow each position.
Fractional positions:
1 Pa 0.3333 0.6667 0.2500  12 Se 3.06-3.13
2 Pa 0.6667 0.3333 0.7500  12 Se 3.06-3.13
3 Se 0.1753 0.3505 0.7500  8 Se 2.90-3.23, 4 Pa 3.06-3.13
4 Se 0.1753 0.8247 0.7500  8 Se 2.90-3.23, 4 Pa 3.06-3.13
5 Se 0.3505 0.1753 0.2500  8 Se 2.90-3.23, 4 Pa 3.06-3.13
6 Se 0.6495 0.8247 0.7500  8 Se 2.90-3.23, 4 Pa 3.06-3.13
7 Se 0.8247 0.1753 0.2500  8 Se 2.90-3.23, 4 Pa 3.06-3.13
8 Se 0.8247 0.6495 0.2500  8 Se 2.90-3.23, 4 Pa 3.06-3.13

Computed properties:
- space group = P6_3/mmc (194)
- magnetic moment (μB/cell) = 0.0
- density of states at the Fermi level (states/eV/cell) = 6.3
- volume (Å³/f.u.) = 85.7
- raw formation energy (eV/atom) = -0.859

Entry 2:
Computed, not measured: a relaxed ZnHg3Pd crystal at the GGA-PBE level of DFT.

a = 5.3367 Å, b = 5.3367 Å, c = 5.3367 Å
α = 90.00°, β = 90.00°, γ = 90.00°
Closest atoms and distances in Å follow each position.
Fractional positions:
1 Zn 0.0000 0.0000 0.0000  12 Hg 3.77
2 Hg 0.0000 0.5000 0.5000  2 Pd 2.67
3 Hg 0.5000 0.0000 0.5000  2 Pd 2.67
4 Hg 0.5000 0.5000 0.0000  2 Pd 2.67
5 Pd 0.5000 0.5000 0.5000  6 Hg 2.67

Computed properties:
- energy of formation from the pure elements (eV per atom) = 0.14
- space group = Pm-3m (221)
- magnetic moment (μB/cell) = 0.0
- energy above the most stable polymorph in this dataset (meV per atom) = 0
- density of states at the Fermi level (states/eV/cell) = 1.0
- volume (Å³/f.u.) = 152.0

Entry 3:
Computed, not measured: a relaxed Pr3Ge2Ir crystal at the GGA-PBE level of DFT.

a = 12.1907 Å, b = 4.3703 Å, c = 11.7272 Å
α = 90.00°, β = 90.00°, γ = 90.00°
Closest atoms and distances in Å follow each position.
Fractional positions:
1 Pr 0.0559 0.2500 0.1277  1 Ir 2.97, 4 Ge 3.11-3.14
2 Pr 0.1193 0.7500 0.5548  3 Ir 3.09-3.17, 5 Ge 3.10-3.23
3 Pr 0.2208 0.2500 0.8013  2 Ir 2.95, 4 Ge 3.19-3.21
4 Pr 0.2792 0.7500 0.3013  2 Ir 2.95, 4 Ge 3.19-3.21
5 Pr 0.3807 0.2500 0.0548  3 Ir 3.09-3.17, 5 Ge 3.10-3.23
6 Pr 0.4441 0.7500 0.6277  1 Ir 2.97, 4 Ge 3.11-3.14
7 Pr 0.5559 0.2500 0.3723  1 Ir 2.97, 4 Ge 3.11-3.14
8 Pr 0.6193 0.7500 0.9452  3 Ir 3.09-3.17, 5 Ge 3.10-3.23
9 Pr 0.7208 0.2500 0.6987  2 Ir 2.95, 4 Ge 3.19-3.21
10 Pr 0.7792 0.7500 0.1987  2 Ir 2.95, 4 Ge 3.19-3.21
11 Pr 0.8807 0.2500 0.4452  3 Ir 3.09-3.17, 5 Ge 3.10-3.23
12 Pr 0.9441 0.7500 0.8723  1 Ir 2.97, 4 Ge 3.11-3.14
13 Ge 0.0174 0.7500 0.3122  2 Ir 2.67
14 Ge 0.1929 0.7500 0.9993  1 Ir 2.64
15 Ge 0.3071 0.2500 0.4993  1 Ir 2.64
16 Ge 0.4826 0.2500 0.8122  2 Ir 2.67
17 Ge 0.5174 0.7500 0.1878  2 Ir 2.67
18 Ge 0.6929 0.7500 0.5007  1 Ir 2.64
19 Ge 0.8071 0.2500 0.0007  1 Ir 2.64
20 Ge 0.9826 0.2500 0.6878  2 Ir 2.67
21 Ir 0.1302 0.2500 0.3690  3 Ge 2.64-2.67, 2 Pr 2.95
22 Ir 0.3698 0.7500 0.8690  3 Ge 2.64-2.67, 2 Pr 2.95
23 Ir 0.6302 0.2500 0.1310  3 Ge 2.64-2.67, 2 Pr 2.95
24 Ir 0.8698 0.7500 0.6310  3 Ge 2.64-2.67, 2 Pr 2.95

Computed properties:
- energy of formation from the pure elements (eV per atom) = -0.79
- space group = Pnma (62)
- magnetic moment (μB/cell) = 0.0
- density of states at the Fermi level (states/eV/cell) = 10.8
- volume (Å³/f.u.) = 156.2

Entry 4:
Computed, not measured: a relaxed PrDy2Th3P6 crystal at the GGA-PBE level of DFT.

a = 7.1327 Å, b = 7.1327 Å, c = 7.0882 Å
α = 99.68°, β = 99.68°, γ = 119.92°
Closest atoms and distances in Å follow each position.
Fractional positions:
1 Pr 0.0000 0.0000 0.0000  6 P 2.93-2.94
2 Dy 0.3328 0.6672 0.0000  6 P 2.87-2.88
3 Dy 0.6672 0.3328 0.0000  6 P 2.87-2.88
4 Th 0.1654 0.8346 0.5000  6 P 2.88-2.93
5 Th 0.5000 0.5000 0.5000  6 P 2.88-2.93
6 Th 0.8346 0.1654 0.5000  6 P 2.88-2.93
7 P 0.0827 0.4227 0.2481  2 Dy 2.87-2.88, 3 Th 2.88-2.93, 1 Pr 2.94
8 P 0.2581 0.2581 0.7534  2 Dy 2.88, 3 Th 2.88-2.93, 1 Pr 2.93
9 P 0.4227 0.0827 0.2481  2 Dy 2.87-2.88, 3 Th 2.88-2.93, 1 Pr 2.94
10 P 0.5773 0.9173 0.7519  2 Dy 2.87-2.88, 3 Th 2.88-2.93, 1 Pr 2.94
11 P 0.7419 0.7419 0.2466  2 Dy 2.88, 3 Th 2.88-2.93, 1 Pr 2.93
12 P 0.9173 0.5773 0.7519  2 Dy 2.87-2.88, 3 Th 2.88-2.93, 1 Pr 2.94

Computed properties:
- energy of formation from the pure elements (eV per atom) = -1.57
- space group = C2/m (12)
- magnetic moment (μB/cell) = 0.0
- density of states at the Fermi level (states/eV/cell) = 4.9
- volume (Å³/f.u.) = 294.4

Entry 5:
Computed, not measured: a relaxed Nd3ThP4 crystal at the GGA-PBE level of DFT.

a = 5.8841 Å, b = 5.8841 Å, c = 5.8841 Å
α = 90.00°, β = 90.00°, γ = 90.00°
Closest atoms and distances in Å follow each position.
Fractional positions:
1 Nd 0.0000 0.0000 0.5000  6 P 2.94
2 Nd 0.0000 0.5000 0.0000  6 P 2.94
3 Nd 0.5000 0.0000 0.0000  6 P 2.94
4 Th 0.5000 0.5000 0.5000  6 P 2.94
5 P 0.0000 0.0000 0.0000  6 Nd 2.94
6 P 0.0000 0.5000 0.5000  2 Th 2.94, 4 Nd 2.94
7 P 0.5000 0.0000 0.5000  2 Th 2.94, 4 Nd 2.94
8 P 0.5000 0.5000 0.0000  2 Th 2.94, 4 Nd 2.94

Computed properties:
- energy of formation from the pure elements (eV per atom) = -1.56
- space group = Pm-3m (221)
- magnetic moment (μB/cell) = 0.0
- energy above the most stable polymorph in this dataset (meV per atom) = 15
- density of states at the Fermi level (states/eV/cell) = 3.9
- volume (Å³/f.u.) = 203.7

Entry 6:
Computed, not measured: a relaxed BaZr2RhCl crystal at the GGA-PBE level of DFT.

a = 4.7803 Å, b = 4.7803 Å, c = 5.6768 Å
α = 90.00°, β = 90.00°, γ = 90.00°
Closest atoms and distances in Å follow each position.
Fractional positions:
1 Ba 0.0000 0.0000 0.0000  2 Cl 2.84
2 Zr 0.0000 0.5000 0.5000  2 Cl 2.39
3 Zr 0.5000 0.0000 0.5000  2 Cl 2.39
4 Rh 0.5000 0.5000 0.0000  4 Ba 3.38, 8 Zr 3.71
5 Cl 0.0000 0.0000 0.5000  4 Zr 2.39

Computed properties:
- space group = P4/mmm (123)
- magnetic moment (μB/cell) = 0.0
- density of states at the Fermi level (states/eV/cell) = 5.5
- volume (Å³/f.u.) = 129.7
- raw formation energy (eV/atom) = 0.246

Entry 7:
Computed, not measured: a relaxed TbNiIr crystal at the GGA-PBE level of DFT.

a = 5.0888 Å, b = 5.4013 Å, c = 7.3505 Å
α = 90.00°, β = 90.00°, γ = 90.00°
Closest atoms and distances in Å follow each position.
Fractional positions:
1 Tb 0.0000 0.2500 0.1225  6 Ir 3.02-3.09, 6 Ni 3.02-3.13, 4 Tb 3.16-3.25
2 Tb 0.0000 0.7500 0.8775  6 Ir 3.02-3.09, 6 Ni 3.02-3.13, 4 Tb 3.16-3.25
3 Tb 0.5000 0.2500 0.3775  6 Ir 3.02-3.09, 6 Ni 3.02-3.13, 4 Tb 3.16-3.25
4 Tb 0.5000 0.7500 0.6225  6 Ir 3.02-3.09, 6 Ni 3.02-3.13, 4 Tb 3.16-3.25
5 Ni 0.2500 0.2500 0.7500  2 Ni 2.54, 4 Ir 2.61
6 Ni 0.2500 0.7500 0.2500  2 Ni 2.54, 4 Ir 2.61
7 Ni 0.7500 0.2500 0.7500  2 Ni 2.54, 4 Ir 2.61
8 Ni 0.7500 0.7500 0.2500  2 Ni 2.54, 4 Ir 2.61
9 Ir 0.0000 0.0000 0.5000  4 Ni 2.61, 2 Ir 2.70
10 Ir 0.0000 0.5000 0.5000  4 Ni 2.61, 2 Ir 2.70
11 Ir 0.5000 0.0000 0.0000  4 Ni 2.61, 2 Ir 2.70
12 Ir 0.5000 0.5000 0.0000  4 Ni 2.61, 2 Ir 2.70

Computed properties:
- energy of formation from the pure elements (eV per atom) = -0.66
- space group = Imma (74)
- magnetic moment (μB/cell) = 0.0
- density of states at the Fermi level (states/eV/cell) = 9.8
- volume (Å³/f.u.) = 50.5

Entry 8:
Computed, not measured: a relaxed La2TaZn crystal at the GGA-PBE level of DFT.

a = 3.2683 Å, b = 3.2683 Å, c = 9.5147 Å
α = 90.00°, β = 90.00°, γ = 90.00°
Closest atoms and distances in Å follow each position.
Fractional positions:
1 La 0.0000 0.0000 0.2483  4 La 3.27, 4 Zn 3.30, 4 Ta 3.33
2 La 0.0000 0.0000 0.7517  4 La 3.27, 4 Zn 3.30, 4 Ta 3.33
3 Ta 0.5000 0.5000 0.5000  4 Ta 3.27, 8 La 3.33
4 Zn 0.5000 0.5000 0.0000  4 Zn 3.27, 8 La 3.30

Computed properties:
- energy of formation from the pure elements (eV per atom) = 0.21
- space group = P4/mmm (123)
- magnetic moment (μB/cell) = 0.0
- density of states at the Fermi level (states/eV/cell) = 3.7
- volume (Å³/f.u.) = 101.6